# 1
Entry from the Alexandria database: a relaxed CaSb2Se crystal (PBE).

For the uncorrected formation energy, the calculation gives -0.15 eV per atom. The calculation puts the energy at -0.264 Ry/atom. The value obtained for the density of states at the Fermi level is 0.568 states/eV per atom.

It has space group P4/mmm (No. 123), with a = 3.5763 Å, b = 3.5763 Å, c = 8.1927 Å, α = 90.00°, β = 90.00° and γ = 90.00°. The inequivalent atoms are Ca at (0.0000, 0.0000, 0.0000), Sb at (0.5000, 0.5000, 0.2673) and Se at (0.0000, 0.0000, 0.5000).

=====

# 2
Entry from the Alexandria database: a relaxed LiGa3P crystal (PBE).

The calculation puts the energy at -0.222 Ry/atom. The value obtained for the formation enthalpy at 0 K is 1.3 eV per formula unit. As for the energy above the lowest structure with this stoichiometry: 0 meV per atom. The value obtained for the density of states at the Fermi level is 0.373 states/eV per atom.

It has space group Pm-3m (No. 221), with a = 4.8685 Å, b = 4.8685 Å, c = 4.8685 Å, α = 90.00°, β = 90.00° and γ = 90.00°. The inequivalent atoms are Li at (0.0000, 0.0000, 0.0000), Ga at (0.0000, 0.5000, 0.5000) and P at (0.5000, 0.5000, 0.5000).

=====

# 3
Entry from the Alexandria database: a relaxed YTaZn crystal (PBE).

The calculation puts the energy at -0.459 Ry/atom. The value obtained for the formation enthalpy at 0 K is 0.8 eV per formula unit. As for the energy above the lowest structure with this stoichiometry: 151 meV per atom. The value obtained for the density of states at the Fermi level is 0.747 states/eV per atom.

It has space group P3m1 (No. 156), with a = 3.2182 Å, b = 3.2182 Å, c = 7.1592 Å, α = 90.00°, β = 90.00° and γ = 120.00°. The inequivalent atoms are Y at (0.0000, 0.0000, 0.0000), Ta at (0.3333, 0.6667, 0.6509) and Zn at (0.6667, 0.3333, 0.3534).

=====

# 4
Entry from the Alexandria database: a relaxed SmMo2C2 crystal (PBE).

The calculation puts the energy at -0.664 Ry/atom. The value obtained for the formation enthalpy at 0 K is -0.4 eV per formula unit. The value obtained for the density of states at the Fermi level is 0.507 states/eV per atom.

It has space group Fddd (No. 70, origin choice 2), with a = 7.0687 Å, b = 8.9975 Å, c = 9.2649 Å, α = 90.00°, β = 90.00° and γ = 90.00°. The inequivalent atoms are Sm at (0.1250, 0.1250, 0.1250), Mo at (0.1250, 0.1250, 0.4843) and C at (0.1250, 0.3286, 0.6250).

=====

# 5
Entry from the Alexandria database: a relaxed Li2DyOsO6 crystal (PBE).

For the uncorrected formation energy, the calculation gives -1.92 eV per atom. The calculation puts the energy at -0.504 Ry/atom. The value obtained for the density of states at the Fermi level is 0.370 states/eV per atom.

It has space group P2_1/c (No. 14), with a = 5.3398 Å, b = 5.5374 Å, c = 9.4520 Å, α = 90.00°, β = 124.23° and γ = 90.00°. The inequivalent atoms are Li at (0.2310, 0.0144, 0.2429), Dy at (0.0000, 0.0000, 0.5000), Os at (0.5000, 0.0000, 0.0000), O at (0.1522, 0.0599, 0.7726), O at (0.2525, 0.6535, 0.5579) and O at (0.4292, 0.2007, 0.5699).

=====

# 6
Entry from the Alexandria database: a relaxed TePdCl crystal (PBE).

For the uncorrected formation energy, the calculation gives -0.46 eV per atom. The calculation puts the energy at -0.283 Ry/atom. The value obtained for the density of states at the Fermi level is 0.286 states/eV per atom.

It has space group Pmmn (No. 59, origin choice 2), with a = 3.7136 Å, b = 5.6712 Å, c = 7.4177 Å, α = 90.00°, β = 90.00° and γ = 90.00°. The inequivalent atoms are Te at (0.2500, 0.2500, 0.1028), Pd at (0.2500, 0.7500, 0.1463) and Cl at (0.2500, 0.2500, 0.6322).

=====

# 7
Entry from the Alexandria database: a relaxed MgAl2ZnO crystal (PBE).

For the uncorrected formation energy, the calculation gives 0.14 eV per atom. The calculation puts the energy at -0.215 Ry/atom. The value obtained for the density of states at the Fermi level is 0.780 states/eV per atom.

It has space group P4/mmm (No. 123), with a = 5.4660 Å, b = 5.4660 Å, c = 3.6248 Å, α = 90.00°, β = 90.00° and γ = 90.00°. The inequivalent atoms are Mg at (0.0000, 0.0000, 0.0000), Al at (0.0000, 0.5000, 0.0000), Zn at (0.5000, 0.5000, 0.5000) and O at (0.0000, 0.0000, 0.5000).

=====

# 8
Entry from the Alexandria database: a relaxed LaSmDy2 crystal (PBE).

The calculation puts the energy at -0.313 Ry/atom. The value obtained for the formation enthalpy at 0 K is 1.8 eV per formula unit. As for the energy above the lowest structure with this stoichiometry: 433 meV per atom. The value obtained for the density of states at the Fermi level is 1.628 states/eV per atom.

It has space group P2/m (No. 10), with a = 6.2510 Å, b = 5.5685 Å, c = 8.7591 Å, α = 90.00°, β = 99.26° and γ = 90.00°. The inequivalent atoms are La at (0.0000, 0.0000, 0.0000), La at (0.5000, 0.5000, 0.5000), Sm at (0.0941, 0.5000, 0.7109), Dy at (0.2350, 0.0000, 0.4098) and Dy at (0.3444, 0.5000, 0.1286).